First-principles (PBE) data for a relaxed structure of H2RuPt2, as listed in the Alexandria database.

Results
Its symmetry is P4/mbm. The calculation puts the total DFT energy (no corrections) at -27.24 eV per formula unit. The mass density comes out at 15.0 g/cm³. The calculation puts the energy above the most stable polymorph in this dataset at 0.000 eV/atom. For the total magnetization, the calculation gives 0.000 μB/atom.

Unit cell a=5.284 b=5.284 c=3.923 alpha=90.00 beta=90.00 gamma=90.00
Element x y z (fractional)
Ru1 0.000 0.000 0.000
Ru2 0.500 0.500 0.000
Pt1 0.183 0.683 0.500
Pt2 0.683 0.817 0.500
Pt3 0.817 0.317 0.500
Pt4 0.317 0.183 0.500
H1 0.192 0.692 0.000
H2 0.692 0.808 0.000
H3 0.808 0.308 0.000
H4 0.308 0.192 0.000

***

First-principles (PBE) data for a relaxed structure of CaMn2Cu2, as listed in the Alexandria database.

Results
Its symmetry is I4/mmm. The calculation puts the total DFT energy (no corrections) at -26.79 eV per formula unit. The mass density comes out at 4.9 g/cm³. The calculation puts the energy above the most stable polymorph in this dataset at 0.117 eV/atom. For the total magnetization, the calculation gives 1.537 μB/atom.

Unit cell a=4.405 b=4.405 c=5.747 alpha=67.47 beta=67.47 gamma=90.00
Element x y z (fractional)
Ca1 0.000 0.000 0.000
Mn1 0.362 0.362 0.275
Mn2 0.638 0.638 0.725
Cu1 0.750 0.250 0.500
Cu2 0.250 0.750 0.500

***

First-principles (PBE) data for a relaxed structure of K2SrTaO4, as listed in the Alexandria database.

Results
Its symmetry is I-4. The calculation puts the total DFT energy (no corrections) at -53.65 eV per formula unit. The mass density comes out at 4.1 g/cm³. The energy relative to the elements, uncorrected comes out at -18.08 eV/f.u. For the total magnetization, the calculation gives 0.096 μB/atom.

Unit cell a=6.121 b=6.121 c=6.121 alpha=92.08 beta=118.81 gamma=118.81
Element x y z (fractional)
K1 0.500 0.750 0.250
K2 0.000 0.000 0.000
Sr1 0.500 0.250 0.750
Ta1 0.000 0.500 0.500
O1 0.606 0.370 0.421
O2 0.051 0.236 0.630
O3 0.949 0.579 0.185
O4 0.394 0.815 0.764

***

First-principles (PBE) data for a relaxed structure of FeTc4, as listed in the Alexandria database.

Results
Its symmetry is I4/mmm. The calculation puts the total DFT energy (no corrections) at -46.39 eV per formula unit. The mass density comes out at 8.8 g/cm³. The calculation puts the energy above the most stable polymorph in this dataset at 0.623 eV/atom. For the total magnetization, the calculation gives 0.587 μB/atom.

Unit cell a=6.158 b=6.158 c=6.158 alpha=142.88 beta=142.88 gamma=53.51
Element x y z (fractional)
Fe1 0.000 0.000 0.000
Tc1 0.250 0.750 0.500
Tc2 0.607 0.607 0.000
Tc3 0.393 0.393 0.000
Tc4 0.750 0.250 0.500